# CaRu2Au

An optimized crystal structure of CaRu2Au (PBEsol, Alexandria via LeMat-Bulk).

Values from the calculation:
- DFT formation energy (kcal/mol of atoms) = 8.7
- symmetry = Pmmm, No. 47

Cell: 2.9654 4.6433 4.7559 Å, 90.00 90.00 90.00°
Site moments in Bohr magnetons follow the coordinates.
Sites, in units of the cell vectors:
Ru: 0.5000 0.5000 0.0000  0.28
Ru: 0.0000 0.0000 0.0000  0.22
Au: 0.5000 0.0000 0.5000  0.01
Ca: 0.0000 0.5000 0.5000  -0.01

=====

# Be2MoRu

An optimized crystal structure of Be2MoRu (PBEsol, Alexandria via LeMat-Bulk).

Values from the calculation:
- DFT formation energy (kcal/mol of atoms) = -3.5
- symmetry = Amm2, No. 38

Cell: 2.8490 3.5013 4.6165 Å, 90.00 107.97 90.00°
Sites, in units of the cell vectors:
Be: 0.0632 0.5000 0.1265
Be: 0.1915 0.0000 0.3830
Mo: 0.4620 0.0000 0.9239
Ru: 0.7829 0.5000 0.5657

=====

# BaNa2Ca2

An optimized crystal structure of BaNa2Ca2 (PBEsol, Alexandria via LeMat-Bulk).

Values from the calculation:
- DFT formation energy (kcal/mol of atoms) = 1.7
- symmetry = P4/mbm, No. 127

Cell: 4.1907 10.0619 10.0619 Å, 90.00 90.00 90.00°
Sites, in units of the cell vectors:
Na: 0.0000 0.6246 0.1246
Na: 0.0000 0.3754 0.8754
Na: 0.0000 0.8754 0.6246
Na: 0.0000 0.1246 0.3754
Ba: 0.0000 0.0000 0.0000
Ba: 0.0000 0.5000 0.5000
Ca: 0.5000 0.3296 0.1704
Ca: 0.5000 0.1704 0.6704
Ca: 0.5000 0.8296 0.3296
Ca: 0.5000 0.6704 0.8296

=====

# Tb2ZrSe5

An optimized crystal structure of Tb2ZrSe5 (PBEsol, Alexandria via LeMat-Bulk).

Values from the calculation:
- formation energy from raw total energies (meV per atom) = -1706
- symmetry = Pnma, No. 62

Cell: 7.5159 8.0115 11.9793 Å, 90.00 90.00 90.00°
Sites, in units of the cell vectors:
Se: 0.3301 0.2500 0.1806
Se: 0.0478 0.7500 0.9972
Se: 0.1635 0.4597 0.4061
Se: 0.3365 0.0403 0.9061
Se: 0.3365 0.4597 0.9061
Se: 0.8301 0.7500 0.3194
Se: 0.6699 0.7500 0.8194
Se: 0.1899 0.7500 0.7099
Se: 0.6899 0.2500 0.7901
Se: 0.6635 0.5403 0.0939
Se: 0.3101 0.7500 0.2099
Se: 0.8365 0.9597 0.5939
Se: 0.9522 0.2500 0.0028
Se: 0.8365 0.5403 0.5939
Se: 0.5478 0.2500 0.5028
Se: 0.8101 0.2500 0.2901
Se: 0.1635 0.0403 0.4061
Se: 0.4522 0.7500 0.4972
Se: 0.1699 0.2500 0.6806
Se: 0.6635 0.9597 0.0939
Zr: 0.4190 0.7500 0.9935
Zr: 0.0810 0.7500 0.4935
Zr: 0.9190 0.2500 0.5065
Zr: 0.5810 0.2500 0.0065
Tb: 0.9751 0.0043 0.8208
Tb: 0.4751 0.9957 0.6792
Tb: 0.0249 0.5043 0.1792
Tb: 0.4751 0.5043 0.6792
Tb: 0.5249 0.0043 0.3208
Tb: 0.9751 0.4957 0.8208
Tb: 0.0249 0.9957 0.1792
Tb: 0.5249 0.4957 0.3208

=====

# KBeAu

An optimized crystal structure of KBeAu (PBEsol, Alexandria via LeMat-Bulk).

Values from the calculation:
- DFT formation energy (kcal/mol of atoms) = 1.4
- symmetry = Imm2, No. 44

Cell: 2.9287 3.6952 6.3724 Å, 106.85 103.29 90.00°
Sites, in units of the cell vectors:
Au: 0.0679 0.0679 0.1358
Be: 0.5942 0.5942 0.1883
K: 0.3380 0.3380 0.6759

=====

# Mn2NiMo

An optimized crystal structure of Mn2NiMo (PBEsol, Alexandria via LeMat-Bulk).

Values from the calculation:
- DFT formation energy (kcal/mol of atoms) = 4.3
- symmetry = P2/m, No. 10

Cell: 2.4962 4.1030 4.6582 Å, 90.00 96.37 90.00°
Site moments in Bohr magnetons follow the coordinates.
Sites, in units of the cell vectors:
Mn: 0.7354 0.0000 0.7391  1.33
Mn: 0.2646 0.0000 0.2609  1.33
Mo: 0.5000 0.5000 0.0000  -0.31
Ni: 0.0000 0.5000 0.5000  0.34

=====

# Mg7Be

An optimized crystal structure of Mg7Be (PBEsol, Alexandria via LeMat-Bulk).

Values from the calculation:
- DFT formation energy (kcal/mol of atoms) = 4.2
- symmetry = Fm-3m, No. 225

Cell: 6.1592 6.1592 6.1592 Å, 60.00 60.00 60.00°
Sites, in units of the cell vectors:
Mg: 0.5000 0.0000 0.5000
Mg: 0.5000 0.0000 0.0000
Mg: 0.5000 0.5000 0.0000
Mg: 0.0000 0.0000 0.5000
Mg: 0.0000 0.5000 0.0000
Mg: 0.0000 0.5000 0.5000
Mg: 0.5000 0.5000 0.5000
Be: 0.0000 0.0000 0.0000

=====

# Sr2MnIr

An optimized crystal structure of Sr2MnIr (PBEsol, Alexandria via LeMat-Bulk).

Values from the calculation:
- DFT formation energy (kcal/mol of atoms) = 12.0
- symmetry = Pmmm, No. 47

Cell: 3.4240 3.8543 7.5878 Å, 90.00 90.00 90.00°
Site moments in Bohr magnetons follow the coordinates.
Sites, in units of the cell vectors:
Sr: 0.0000 0.0000 0.7800  -0.02
Sr: 0.0000 0.0000 0.2200  -0.02
Mn: 0.5000 0.5000 0.5000  3.97
Ir: 0.5000 0.5000 0.0000  0.10

=====

# FeMoO4

An optimized crystal structure of FeMoO4 (PBEsol, Alexandria via LeMat-Bulk).

Values from the calculation:
- formation energy from raw total energies (meV per atom) = -1681
- symmetry = C2/m, No. 12

Cell: 6.4902 6.4902 7.6437 Å, 72.39 72.39 84.67°
Site moments in Bohr magnetons follow the coordinates.
Sites, in units of the cell vectors:
O: 0.6547 0.6547 0.9333  0.14
O: 0.6843 0.0055 0.5751  0.08
O: 0.6854 0.9958 0.0810  0.09
O: 0.9958 0.6854 0.0810  0.09
O: 0.6575 0.3536 0.2566  0.10
O: 0.3453 0.3453 0.0667  0.14
O: 0.3425 0.6464 0.7434  0.10
O: 0.3146 0.0042 0.9190  0.09
O: 0.6507 0.6507 0.4171  0.06
O: 0.0055 0.6843 0.5751  0.08
O: 0.9945 0.3157 0.4249  0.08
O: 0.6464 0.3425 0.7434  0.10
O: 0.3536 0.6575 0.2566  0.10
O: 0.3493 0.3493 0.5829  0.06
O: 0.3157 0.9945 0.4249  0.08
O: 0.0042 0.3146 0.9190  0.09
Fe: 0.3040 0.6960 0.0000  3.58
Fe: 0.6960 0.3040 0.0000  3.58
Fe: 0.6957 0.6957 0.6560  3.58
Fe: 0.3043 0.3043 0.3440  3.58
Mo: 0.7144 0.7144 0.1399  -0.03
Mo: 0.2856 0.2856 0.8601  -0.03
Mo: 0.7130 0.2870 0.5000  -0.03
Mo: 0.2870 0.7130 0.5000  -0.03

=====

# P2RuW

An optimized crystal structure of P2RuW (PBEsol, Alexandria via LeMat-Bulk).

Values from the calculation:
- DFT formation energy (kcal/mol of atoms) = 3.9
- symmetry = Immm, No. 71

Cell: 2.9461 4.7565 4.7565 Å, 62.08 71.96 71.96°
Sites, in units of the cell vectors:
P: 0.2420 0.7580 0.7580
P: 0.7580 0.2420 0.2420
Ru: 0.5000 0.0000 0.0000
W: 0.0000 0.5000 0.5000

=====

# NiSn2Au

An optimized crystal structure of NiSn2Au (PBEsol, Alexandria via LeMat-Bulk).

Values from the calculation:
- DFT formation energy (kcal/mol of atoms) = -6.1
- symmetry = P-3m1, No. 164

Cell: 4.0998 4.0998 5.2717 Å, 90.00 90.00 120.00°
Sites, in units of the cell vectors:
Ni: 0.0000 0.0000 0.0000
Sn: 0.6667 0.3333 0.7883
Sn: 0.3333 0.6667 0.2117
Au: 0.0000 0.0000 0.5000

=====

# KFe2Rh

An optimized crystal structure of KFe2Rh (PBEsol, Alexandria via LeMat-Bulk).

Values from the calculation:
- DFT formation energy (kcal/mol of atoms) = 27.4
- symmetry = Pmmm, No. 47

Cell: 2.7640 4.6661 4.7483 Å, 90.00 90.00 90.00°
Site moments in Bohr magnetons follow the coordinates.
Sites, in units of the cell vectors:
Rh: 0.0000 0.5000 0.5000  0.48
Fe: 0.5000 0.0000 0.5000  2.79
Fe: 0.0000 0.0000 0.0000  2.76
K: 0.5000 0.5000 0.0000  -0.03

=====

# K3Na3TeP6H6O24

An optimized crystal structure of K3Na3TeP6H6O24 (PBEsol, Alexandria via LeMat-Bulk).

Values from the calculation:
- VASP energy (eV per atom) = -6.302
- symmetry = C2/c, No. 15

Cell: 10.5301 10.5301 12.2873 Å, 66.40 66.40 62.82°
Sites, in units of the cell vectors:
P: 0.9904 0.3327 0.4844
P: 0.3327 0.9904 0.9844
P: 0.1775 0.8271 0.9835
P: 0.3128 0.5112 0.5196
P: 0.0096 0.6673 0.5156
P: 0.1729 0.8225 0.5165
P: 0.5112 0.3128 0.0196
P: 0.8271 0.1775 0.4835
P: 0.8225 0.1729 0.0165
P: 0.4888 0.6872 0.9804
P: 0.6673 0.0096 0.0156
P: 0.6872 0.4888 0.4804
K: 0.7202 0.8579 0.7377
K: 0.6361 0.3639 0.2500
K: 0.3639 0.6361 0.7500
K: 0.2798 0.1421 0.2623
K: 0.1421 0.2798 0.7623
K: 0.8579 0.7202 0.2377
Te: 0.0000 0.5000 0.0000
Te: 0.5000 0.0000 0.5000
H: 0.1840 0.2308 0.9991
H: 0.9907 0.7816 0.9266
H: 0.7816 0.9907 0.4266
H: 0.2308 0.1840 0.4991
H: 0.4775 0.1918 0.5829
H: 0.0093 0.2184 0.0734
H: 0.8082 0.5225 0.9171
H: 0.5225 0.8082 0.4171
H: 0.8160 0.7692 0.0009
H: 0.2184 0.0093 0.5734
H: 0.7692 0.8160 0.5009
H: 0.1918 0.4775 0.0829
O: 0.7120 0.3444 0.4438
O: 0.2102 0.9784 0.9425
O: 0.7898 0.0216 0.0575
O: 0.3710 0.5356 0.3835
O: 0.8482 0.0978 0.3960
O: 0.6241 0.6131 0.8928
O: 0.6131 0.6241 0.3928
O: 0.3444 0.7120 0.9438
O: 0.3436 0.1391 0.9078
O: 0.9564 0.2936 0.6215
O: 0.8602 0.4795 0.4362
O: 0.1391 0.3436 0.4078
O: 0.5356 0.3710 0.8835
O: 0.5109 0.0818 0.6146
O: 0.0978 0.8482 0.8960
O: 0.5115 0.8261 0.6209
O: 0.8609 0.6564 0.5922
O: 0.9143 0.7347 0.9380
O: 0.3759 0.3869 0.1072
O: 0.7064 0.0436 0.8785
O: 0.1130 0.7844 0.1194
O: 0.4891 0.9182 0.3854
O: 0.6290 0.4644 0.6165
O: 0.8870 0.2156 0.8806
O: 0.6556 0.2880 0.0562
O: 0.2653 0.0857 0.5620
O: 0.0818 0.5109 0.1146
O: 0.9182 0.4891 0.8854
O: 0.5205 0.1398 0.0638
O: 0.1398 0.5205 0.5638
O: 0.2880 0.6556 0.5562
O: 0.9784 0.2102 0.4425
O: 0.3869 0.3759 0.6072
O: 0.2936 0.9564 0.1215
O: 0.4795 0.8602 0.9362
O: 0.8261 0.5115 0.1209
O: 0.4644 0.6290 0.1165
O: 0.1739 0.4885 0.8791
O: 0.2156 0.8870 0.3806
O: 0.6564 0.8609 0.0922
O: 0.9022 0.1518 0.1040
O: 0.1518 0.9022 0.6040
O: 0.4885 0.1739 0.3791
O: 0.7347 0.9143 0.4380
O: 0.0436 0.7064 0.3785
O: 0.7844 0.1130 0.6194
O: 0.0857 0.2653 0.0620
O: 0.0216 0.7898 0.5575
Na: 0.2499 0.5408 0.2535
Na: 0.9352 0.0648 0.7500
Na: 0.4592 0.7501 0.2465
Na: 0.7501 0.4592 0.7465
Na: 0.0648 0.9352 0.2500
Na: 0.5408 0.2499 0.7535

=====

# CoPd3

An optimized crystal structure of CoPd3 (PBEsol, Alexandria via LeMat-Bulk).

Values from the calculation:
- DFT formation energy (kcal/mol of atoms) = 1.3
- symmetry = Pm-3m, No. 221

Cell: 3.7922 3.7922 3.7922 Å, 90.00 90.00 90.00°
Site moments in Bohr magnetons follow the coordinates.
Sites, in units of the cell vectors:
Co: 0.0000 0.0000 0.0000  2.00
Pd: 0.5000 0.0000 0.5000  0.35
Pd: 0.0000 0.5000 0.5000  0.35
Pd: 0.5000 0.5000 0.0000  0.35

=====

# Cu2TcBr

An optimized crystal structure of Cu2TcBr (PBEsol, Alexandria via LeMat-Bulk).

Values from the calculation:
- formation energy from raw total energies (meV per atom) = 604
- symmetry = P4/mmm, No. 123

Cell: 2.7123 2.7123 8.6507 Å, 90.00 90.00 90.00°
Sites, in units of the cell vectors:
Cu: 0.0000 0.0000 0.7971
Cu: 0.0000 0.0000 0.2029
Br: 0.5000 0.5000 0.5000
Tc: 0.5000 0.5000 0.0000

=====

# TaBeTlAu2

An optimized crystal structure of TaBeTlAu2 (PBEsol, Alexandria via LeMat-Bulk).

Values from the calculation:
- DFT formation energy (kcal/mol of atoms) = 25.0
- symmetry = P4/mmm, No. 123

Cell: 4.7577 5.0672 5.0672 Å, 90.00 90.00 90.00°
Sites, in units of the cell vectors:
Ta: 0.0000 0.0000 0.0000
Au: 0.0000 0.5000 0.0000
Au: 0.0000 0.0000 0.5000
Tl: 0.5000 0.5000 0.5000
Be: 0.5000 0.0000 0.0000

=====

# BeCd2As

An optimized crystal structure of BeCd2As (PBEsol, Alexandria via LeMat-Bulk).

Values from the calculation:
- DFT formation energy (kcal/mol of atoms) = 11.7
- symmetry = Fm-3m, No. 225

Cell: 4.7089 4.7089 4.7089 Å, 60.00 60.00 60.00°
Sites, in units of the cell vectors:
Be: 0.5000 0.5000 0.5000
Cd: 0.2500 0.2500 0.2500
Cd: 0.7500 0.7500 0.7500
As: 0.0000 0.0000 0.0000

=====

# Y3Ge6N11

An optimized crystal structure of Y3Ge6N11 (PBEsol, Alexandria via LeMat-Bulk).

Values from the calculation:
- formation energy from raw total energies (meV per atom) = -667
- symmetry = P4bm, No. 100

Cell: 5.0944 10.2289 10.2289 Å, 90.00 90.00 90.00°
Sites, in units of the cell vectors:
N: 0.6761 0.1838 0.9200
N: 0.1657 0.9137 0.2108
N: 0.1657 0.7892 0.9137
N: 0.1095 0.0000 0.5000
N: 0.1657 0.2108 0.0863
N: 0.6761 0.9200 0.8162
N: 0.6899 0.8517 0.3517
N: 0.6761 0.8162 0.0800
N: 0.6761 0.3162 0.4200
N: 0.6761 0.0800 0.1838
N: 0.1657 0.5863 0.7108
N: 0.1095 0.5000 0.0000
N: 0.6899 0.1483 0.6483
N: 0.6761 0.6838 0.5800
N: 0.1657 0.4137 0.2892
N: 0.6899 0.3517 0.1483
N: 0.1657 0.2892 0.5863
N: 0.1657 0.7108 0.4137
N: 0.1657 0.0863 0.7892
N: 0.6899 0.6483 0.8517
N: 0.6761 0.5800 0.3162
N: 0.6761 0.4200 0.6838
Ge: 0.0441 0.8793 0.3793
Ge: 0.0441 0.6207 0.8793
Ge: 0.5273 0.4204 0.2929
Ge: 0.0441 0.1207 0.6207
Ge: 0.5273 0.2071 0.0796
Ge: 0.5273 0.0796 0.7929
Ge: 0.5273 0.7929 0.9204
Ge: 0.0441 0.3793 0.1207
Ge: 0.5273 0.5796 0.7071
Ge: 0.5273 0.7071 0.4204
Ge: 0.5273 0.9204 0.2071
Ge: 0.5273 0.2929 0.5796
Y: 0.9746 0.8169 0.6831
Y: 0.9746 0.6831 0.1831
Y: 0.9656 0.0000 0.0000
Y: 0.9746 0.1831 0.3169
Y: 0.9656 0.5000 0.5000
Y: 0.9746 0.3169 0.8169

=====

# AgMoP2O

An optimized crystal structure of AgMoP2O (PBEsol, Alexandria via LeMat-Bulk).

Values from the calculation:
- formation energy from raw total energies (meV per atom) = -130
- symmetry = P4/mmm, No. 123

Cell: 3.7084 4.7689 4.7689 Å, 90.00 90.00 90.00°
Sites, in units of the cell vectors:
Ag: 0.5000 0.5000 0.5000
O: 0.5000 0.0000 0.0000
P: 0.0000 0.0000 0.5000
P: 0.0000 0.5000 0.0000
Mo: 0.0000 0.0000 0.0000